No. 1
Compound: CoHg2Pt
Source: Alexandria via LeMat-Bulk
Functional: PBEsol
Structure: relaxed

abc: 2.8825 4.3520 5.4968
angles: 90.00 105.58 90.00
Closest atoms and distances in Å follow each position.
Atoms (fractional coordinates):
1 Hg 0.5795 0.5000 0.2880  3 Co 2.81-2.88, 4 Pt 2.84, 4 Hg 2.88-3.13
2 Co 0.3163 0.5000 0.7570  2 Pt 2.57, 7 Hg 2.81-2.88
3 Hg 0.9182 0.0000 0.9575  4 Co 2.82, 3 Pt 2.82-2.86, 6 Hg 2.88-3.15
4 Pt 0.1860 0.0000 0.4976  2 Co 2.57, 7 Hg 2.82-2.86

Computed properties:
Space-group type: Pm



No. 2
Compound: CoRe2Hg
Source: Alexandria via LeMat-Bulk
Functional: PBEsol
Structure: relaxed

abc: 2.7036 2.7036 7.9611
angles: 90.00 90.00 90.00
Closest atoms and distances in Å follow each position.
Atoms (fractional coordinates):
1 Re 0.0000 0.0000 0.2146  4 Co 2.56, 4 Re 2.70
2 Re 0.0000 0.0000 0.7854  4 Co 2.56, 4 Re 2.70
3 Hg 0.5000 0.5000 0.5000  4 Hg 2.70, 8 Re 2.97
4 Co 0.5000 0.5000 0.0000  8 Re 2.56, 4 Co 2.70

Computed properties:
Space-group type: P4/mmm



No. 3
Compound: CoReHg2
Source: Alexandria via LeMat-Bulk
Functional: PBEsol
Structure: relaxed

abc: 4.0191 4.0191 4.9111
angles: 114.15 114.15 90.00
Closest atoms and distances in Å follow each position.
Atoms (fractional coordinates):
1 Hg 0.2500 0.7500 0.5000  4 Re 2.84, 4 Co 2.84, 4 Hg 2.84
2 Re 0.5000 0.5000 0.0000  8 Hg 2.84, 4 Co 2.84
3 Hg 0.7500 0.2500 0.5000  4 Re 2.84, 4 Co 2.84, 4 Hg 2.84
4 Co 0.0000 0.0000 0.0000  8 Hg 2.84, 4 Re 2.84

Computed properties:
Space-group type: I4/mmm
Offset from the most stable computed form: 237.6 meV/atom



No. 4
Compound: CoRe2Hg
Source: Alexandria via LeMat-Bulk
Functional: PBEsol
Structure: relaxed

abc: 2.7304 2.7304 9.2476
angles: 81.51 81.51 60.00
Closest atoms and distances in Å follow each position.
Atoms (fractional coordinates):
1 Co 0.5000 0.5000 0.5000  6 Re 2.55, 6 Co 2.73
2 Re 0.2398 0.2398 0.2806  3 Co 2.55, 6 Re 2.73
3 Hg 0.0000 0.0000 0.0000  6 Hg 2.73, 6 Re 3.00
4 Re 0.7602 0.7602 0.7194  3 Co 2.55, 6 Re 2.73

Computed properties:
Space-group type: R-3m



No. 5
Compound: CoReHg2
Source: Alexandria via LeMat-Bulk
Functional: PBEsol
Structure: relaxed

abc: 2.7366 4.7298 5.8102
angles: 114.02 103.62 90.00
Closest atoms and distances in Å follow each position.
Atoms (fractional coordinates):
1 Co 0.7736 0.2736 0.5473  2 Re 2.37
2 Hg 0.2359 0.7359 0.4719  2 Hg 2.74, 4 Co 2.76
3 Hg 0.0279 0.0279 0.0558  2 Hg 2.74, 4 Re 2.81, 2 Co 2.87
4 Re 0.4625 0.4625 0.9250  2 Co 2.37

Computed properties:
Space-group type: Imm2
Offset from the most stable computed form: 0.0 meV/atom



No. 6
Compound: CoHg2Rh
Source: Alexandria via LeMat-Bulk
Functional: PBEsol
Structure: relaxed

abc: 2.8915 4.6854 5.2100
angles: 108.42 106.11 90.00
Closest atoms and distances in Å follow each position.
Atoms (fractional coordinates):
1 Rh 0.4750 0.5242 0.9500  2 Co 2.53, 5 Hg 2.78-2.79
2 Co 0.7706 0.2200 0.5412  2 Rh 2.53, 7 Hg 2.76-2.83
3 Hg 0.0188 0.0562 0.0375  4 Rh 2.78-2.79, 3 Co 2.79-2.83, 3 Hg 2.89-3.08
4 Hg 0.2356 0.6995 0.4712  4 Co 2.76-2.79, 3 Rh 2.78-2.86, 3 Hg 2.89-3.08

Computed properties:
Space-group type: Cm
Offset from the most stable computed form: 101.9 meV/atom



Energy values, unit eV/atom, following the record order: -3.68; -8.22; -4.66; -8.26; -4.90; -3.96.
D(E_F) values, unit states/eV/atom, following the record order: 1.332; 0.852; 1.063; 0.963; 0.855; 1.251.
E_form values, unit eV/atom, following the record order: 0.28; 0.52; 0.89; 0.48; 0.65; 0.29.